No. 1
First-principles (PBE-GGA) data for a relaxed RbTl4Hg5 crystal, as listed in Alexandria via LeMat-Bulk.

D(E_F)   5.58 states/eV per cell
Energy relative to the elements   -0.0653 eV per atom

Unit cell a=4.1038 b=4.1038 c=18.3841 alpha=90.00 beta=90.00 gamma=90.00
Space group P4/mmm (No. 123)
Asymmetric unit:
Rb 0.0000 0.0000 0.0000
Tl 0.0000 0.0000 0.2167
Tl 0.0000 0.0000 0.4066
Hg 0.5000 0.5000 0.1284
Hg 0.5000 0.5000 0.3108
Hg 0.5000 0.5000 0.5000

No. 2
First-principles (PBE-GGA) data for a relaxed K4Th3AgTe8 crystal, as listed in Alexandria via LeMat-Bulk.

D(E_F)   13.20 states/eV per cell
Uncorrected formation energy   -103.78 kJ/mol of atoms

Unit cell a=15.8128 b=9.1196 c=9.7879 alpha=90.00 beta=122.59 gamma=90.00
Space group C2/m (No. 12)
Asymmetric unit:
K 0.0000 0.0000 0.0000
K 0.0000 0.5000 0.0000
K 0.2500 0.2500 0.0000
Th 0.0000 0.0000 0.5000
Th 0.2500 0.2500 0.5000
Ag 0.0000 0.5000 0.5000
Te 0.0137 0.2493 0.2901
Te 0.2378 0.5000 0.7105
Te 0.2397 0.0000 0.7192